12
Lattice="5.575 0.000 0.000 0.000 5.164 -2.410 0.000 0.790 8.430" Properties=species:S:1:pos:R:3 comment="In2GeAu3 PBE-GGA optimized geometry" e_tot_ev_per_atom=-3.421 delta_e_f_mev_per_atom=-100 pbc="T T T"
Au 2.295 3.459 -1.614
Ge 2.003 0.730 -0.341
In 3.047 5.385 0.643
In 0.260 2.199 2.131
In 3.047 3.756 3.889
Au 3.049 1.461 5.665
Au 0.262 3.403 4.758
Au 3.049 2.551 1.261
Ge 4.790 4.435 -2.070
Au 0.262 4.493 0.355
Au 5.082 1.705 -0.796
In 0.260 0.569 5.376